No. 1
UBC: relaxed, PBE.

a = 6.245 Å, b = 6.245 Å, c = 3.275 Å
α = 90.00°, β = 90.00°, γ = 146.18°
Fractional coordinates of all 6 atoms:
U (0.138, 0.862, 0.750)
U (0.862, 0.138, 0.250)
B (0.466, 0.534, 0.750)
B (0.534, 0.466, 0.250)
C (0.334, 0.666, 0.750)
C (0.666, 0.334, 0.250)

Output
E above lowest polymorph ... 0 meV/atom
E_form ... -0.4493 eV/atom
Uncorrected energy ... -0.3496 Ha/atom
Magnetization ... 0.8 Bohr magnetons per cell

***

No. 2
Y3Cd4Ga2: relaxed, PBE.

a = 5.958 Å, b = 5.958 Å, c = 8.987 Å
α = 114.16°, β = 114.16°, γ = 47.34°
Fractional coordinates of all 9 atoms:
Y (0.000, 0.000, 0.000)
Y (0.334, 0.334, 0.332)
Y (0.666, 0.666, 0.668)
Cd (0.070, 0.070, 0.400)
Cd (0.293, 0.293, 0.955)
Cd (0.707, 0.707, 0.045)
Cd (0.930, 0.930, 0.600)
Ga (0.394, 0.394, 0.727)
Ga (0.606, 0.606, 0.273)

Output
E_form ... -0.4238 eV/atom
Uncorrected energy ... -0.1344 Ha/atom
Magnetization ... 0.0 Bohr magnetons per cell

***

No. 3
CaAlH: relaxed, PBE.

a = 16.806 Å, b = 3.683 Å, c = 3.684 Å
α = 90.00°, β = 90.00°, γ = 90.00°
Fractional coordinates of all 12 atoms:
Ca (0.160, 0.250, 0.250)
Ca (0.340, 0.750, 0.750)
Ca (0.660, 0.250, 0.250)
Ca (0.840, 0.750, 0.750)
Al (0.000, 0.250, 0.750)
Al (0.000, 0.750, 0.250)
Al (0.500, 0.250, 0.750)
Al (0.500, 0.750, 0.250)
H (0.200, 0.750, 0.748)
H (0.300, 0.250, 0.248)
H (0.700, 0.750, 0.752)
H (0.800, 0.250, 0.252)

Output
E above lowest polymorph ... 20 meV/atom
Uncorrected energy ... -0.1174 Ha/atom
Magnetization ... 0.0 Bohr magnetons per cell

***

No. 4
TePtW4: relaxed, PBE.

a = 5.350 Å, b = 5.350 Å, c = 5.350 Å
α = 60.00°, β = 60.00°, γ = 60.00°
Fractional coordinates of all 6 atoms:
Te (0.000, 0.000, 0.000)
Pt (0.250, 0.250, 0.250)
W (0.130, 0.623, 0.623)
W (0.623, 0.130, 0.623)
W (0.623, 0.623, 0.130)
W (0.623, 0.623, 0.623)

Output
Formation energy from raw total energies ... 0.751 eV per atom
Uncorrected energy ... -0.3460 Ha/atom
Magnetization ... 0.0 Bohr magnetons per cell

***

No. 5
Dy2NbH: relaxed, PBE.

a = 9.051 Å, b = 9.051 Å, c = 9.051 Å
α = 20.35°, β = 20.35°, γ = 20.35°
Fractional coordinates of all 4 atoms:
Dy (0.111, 0.111, 0.111)
Dy (0.889, 0.889, 0.889)
Nb (0.000, 0.000, 0.000)
H (0.500, 0.500, 0.500)

Output
Uncorrected energy ... -0.1957 Ha/atom
Magnetization ... 0.0 Bohr magnetons per cell